This record from Alexandria describes an optimized crystal structure of V3Co3Ni. The functional is PBE-GGA.

The structure belongs to space group R-3 (No. 148, hexagonal axes); the cell edges are 6.2886, 6.2886 and 15.4847 Å and the angles 90.00°, 90.00° and 120.00°. The asymmetric unit holds V at (0.0213, 0.2716, 0.0656), Co at (0.0377, 0.2933, 0.2178) and Ni at (0.0000, 0.0000, 0.3419).

The calculated formation energy is 0.21 eV/atom. The value obtained for the total moment is 0.00 μB/atom.